The following is a PBE-GGA calculation of a relaxed structure of Ca3Y2ThTe6, from Alexandria.

Values from the calculation:
Magnetic moment in Bohr magnetons per cell: 0.00
Formation energy from raw total energies in eV per atom: -1.3956

Cell: 19.6172 4.3767 9.0198 Å, 90.00 105.55 90.00°
Last column: nearest neighbours and their distance in Å.
Space group C2/m (No. 12)
One atom of each set of equivalent atoms:
Ca 0.0000 0.0000 0.0000  6 Te 3.10-3.24
Ca 0.1654 0.5000 0.3265  6 Te 3.10-3.18
Y 0.1599 0.5000 0.8174  6 Te 3.06-3.20
Th 0.0000 0.0000 0.5000  6 Te 3.19-3.21
Te 0.0014 0.5000 0.2437  1 Y 3.06, 3 Ca 3.10, 2 Th 3.19
Te 0.1695 0.0000 0.5808  2 Y 3.10, 3 Ca 3.12-3.16, 1 Th 3.21
Te 0.1709 0.0000 0.0737  3 Y 3.15-3.20, 3 Ca 3.18-3.24

The following is a PBE-GGA calculation of a relaxed structure of CaTi3Te, from Alexandria.

Values from the calculation:
Magnetic moment in Bohr magnetons per cell: 0.00
Formation energy from raw total energies in eV per atom: 0.4970

Cell: 5.0960 5.0960 5.0960 Å, 90.00 90.00 90.00°
Last column: nearest neighbours and their distance in Å.
Space group Pm-3m (No. 221)
One atom of each set of equivalent atoms:
Ca 0.0000 0.0000 0.0000  12 Ti 3.60
Ti 0.0000 0.5000 0.5000  2 Te 2.55
Te 0.5000 0.5000 0.5000  6 Ti 2.55

The following is a PBE-GGA calculation of a relaxed structure of Ca2TiTe2, from Alexandria.

Values from the calculation:
Magnetic moment in Bohr magnetons per cell: 6.00
Formation energy from raw total energies in eV per atom: -0.4746

Cell: 8.5797 8.5797 3.9650 Å, 90.00 90.00 90.00°
Last column: nearest neighbours and their distance in Å.
Space group P4/mbm (No. 127)
One atom of each set of equivalent atoms:
Ca 0.1410 0.3590 0.0000  6 Te 3.07-3.30, 2 Ti 3.31, 1 Ca 3.42
Ti 0.0000 0.0000 0.0000  4 Ca 3.31
Te 0.1659 0.6659 0.5000  6 Ca 3.07-3.30

The following is a PBE-GGA calculation of a relaxed structure of CaTi2Te, from Alexandria.

Values from the calculation:
Magnetic moment in Bohr magnetons per cell: 0.00
Formation energy from raw total energies in eV per atom: 0.2124

Cell: 8.2122 8.2122 5.9285 Å, 90.00 90.00 90.00°
Last column: nearest neighbours and their distance in Å.
Space group I-42d (No. 122)
One atom of each set of equivalent atoms:
Ca 0.0000 0.0000 0.0000  2 Te 2.96, 4 Ti 3.30
Ti 0.1989 0.7500 0.6250  2 Te 2.73
Te 0.0000 0.0000 0.5000  4 Ti 2.73, 2 Ca 2.96